LaCe2Pr3N6: relaxed, GGA-PBE.

Geometry as extended XYZ:
```
12
Lattice="3.165 -5.480 0.000 3.165 5.480 0.000 -2.112 0.000 5.962" Properties=species:S:1:pos:R:3 pbc="T T T"
La 0.000 0.000 0.000
Ce 3.165 1.825 0.000
Ce 3.165 -1.825 0.000
Pr 2.109 3.647 2.981
Pr 2.109 0.000 2.981
Pr 2.109 -3.647 2.981
N 1.102 1.908 1.414
N 0.098 0.000 4.566
N 1.102 -1.908 1.414
N 3.117 1.908 4.548
N 4.121 0.000 1.396
N 3.117 -1.908 4.548
```

Output
M_tot in μB/cell: 0.0
Calculated total energy in eV per atom: -8.14

Pr2SmDy2Y6: relaxed, GGA-PBE.

Geometry as extended XYZ:
```
11
Lattice="2.854 -6.054 0.000 2.854 6.054 0.000 0.000 0.000 10.723" Properties=species:S:1:pos:R:3 pbc="T T T"
Pr 2.854 4.423 0.000
Pr 2.854 -4.423 0.000
Sm 2.854 0.000 5.361
Dy 2.854 3.581 5.361
Dy 2.854 -3.581 5.361
Y 0.000 0.000 3.150
Y 0.000 0.000 7.572
Y 2.854 1.855 2.275
Y 2.854 1.855 8.448
Y 2.854 -1.855 2.275
Y 2.854 -1.855 8.448
```

Output
M_tot in μB/cell: 0.0
Formation energy from the elements in meV per atom: 148
Calculated total energy in eV per atom: -5.51

In2TcNi: relaxed, GGA-PBE.

Geometry as extended XYZ:
```
4
Lattice="3.007 0.000 0.000 0.000 3.007 0.000 0.000 0.000 7.977" Properties=species:S:1:pos:R:3 pbc="T T T"
In 0.000 0.000 0.000
In 1.504 1.504 2.828
Tc 1.504 1.504 5.998
Ni 0.000 0.000 4.608
```

Output
M_tot in μB/cell: 0.0
Formation energy from the elements in meV per atom: 232
Calculated total energy in eV per atom: -5.17

Mg4Si3: relaxed, GGA-PBE.

Geometry as extended XYZ:
```
14
Lattice="5.271 0.000 0.000 -1.143 6.654 0.000 -1.321 -1.813 7.784" Properties=species:S:1:pos:R:3 pbc="T T T"
Mg 0.000 0.000 0.000
Mg -1.191 4.195 2.534
Mg -1.304 1.366 7.456
Mg -0.691 5.321 5.397
Mg 0.154 2.229 4.935
Mg 1.545 2.405 2.154
Mg 1.474 5.848 1.556
Mg 2.956 0.433 4.504
Si 0.364 0.126 3.056
Si 1.443 -0.048 7.531
Si 1.499 4.406 3.944
Si 1.348 2.420 7.448
Si 2.840 3.170 5.516
Si 4.124 1.616 1.919
```

Output
Distance to the lowest polymorph of the same formula in meV/atom: 61
M_tot in μB/cell: 0.0
Calculated total energy in eV per atom: -3.21

GdLuTh2: relaxed, GGA-PBE.

Geometry as extended XYZ:
```
4
Lattice="5.008 0.000 0.000 0.000 5.008 0.000 0.000 0.000 5.031" Properties=species:S:1:pos:R:3 pbc="T T T"
Gd 0.000 0.000 0.000
Lu 2.504 2.504 0.000
Th 0.000 2.504 2.516
Th 2.504 0.000 2.516
```

Output
M_tot in μB/cell: 7.2
Formation energy from the elements in meV per atom: 44
Calculated total energy in eV per atom: -8.32

NaPr2H12Rh3: relaxed, GGA-PBE.

Geometry as extended XYZ:
```
18
Lattice="3.186 1.839 4.905 -3.186 1.839 4.905 0.000 -3.679 4.905" Properties=species:S:1:pos:R:3 pbc="T T T"
Na 0.000 0.000 0.000
Pr 0.000 0.000 5.672
Pr 0.000 0.000 9.044
H 0.000 -1.673 4.118
H -1.449 0.837 4.118
H -1.788 -1.032 7.543
H 0.000 -2.064 7.172
H -1.788 1.032 7.172
H -1.449 -0.837 10.597
H 1.449 0.837 4.118
H 1.788 -1.032 7.543
H 0.000 2.064 7.543
H 1.788 1.032 7.172
H 1.449 -0.837 10.597
H 0.000 1.673 10.597
Rh -3.186 0.000 7.358
Rh -1.593 0.920 2.453
Rh 1.593 0.920 2.453
```

Output
M_tot in μB/cell: 1.2
Calculated total energy in eV per atom: -4.36

CdCo2TePd: relaxed, GGA-PBE.

Geometry as extended XYZ:
```
5
Lattice="4.601 0.000 0.000 0.000 4.601 0.000 0.000 0.000 5.434" Properties=species:S:1:pos:R:3 pbc="T T T"
Cd 0.000 0.000 0.000
Co 0.000 2.300 2.717
Co 2.300 0.000 2.717
Te 0.000 0.000 2.717
Pd 2.300 2.300 0.000
```

Output
M_tot in μB/cell: 2.4
Calculated total energy in eV per atom: -3.64

MnAl2TcB: relaxed, GGA-PBE.

Geometry as extended XYZ:
```
5
Lattice="4.756 0.000 0.000 0.000 4.756 0.000 0.000 0.000 4.584" Properties=species:S:1:pos:R:3 pbc="T T T"
Mn 0.000 0.000 0.000
Al 0.000 2.378 2.292
Al 2.378 0.000 2.292
Tc 0.000 0.000 2.292
B 2.378 2.378 0.000
```

Output
M_tot in μB/cell: 3.6
Formation energy from the elements in meV per atom: 1378
Calculated total energy in eV per atom: -5.36

Cs3U2Te5: relaxed, GGA-PBE.

Geometry as extended XYZ:
```
20
Lattice="14.341 0.000 0.000 0.000 14.341 0.000 0.000 0.000 4.082" Properties=species:S:1:pos:R:3 pbc="T T T"
Cs 0.000 0.000 0.000
Cs 2.616 4.555 0.000
Cs 4.555 11.726 0.000
Cs 7.171 7.171 0.000
Cs 9.786 2.616 0.000
Cs 11.726 9.786 0.000
U 1.678 8.849 0.000
U 5.492 1.678 0.000
U 8.849 12.663 0.000
U 12.663 5.492 0.000
Te 0.000 7.171 2.041
Te 1.007 11.064 2.041
Te 3.277 1.007 2.041
Te 3.893 8.177 2.041
Te 6.164 3.893 2.041
Te 7.171 0.000 2.041
Te 8.177 10.448 2.041
Te 10.448 6.164 2.041
Te 11.064 13.334 2.041
Te 13.334 3.277 2.041
```

Output
M_tot in μB/cell: 10.0
Calculated total energy in eV per atom: -4.93

RbIn2Cl: relaxed, GGA-PBE.

Geometry as extended XYZ:
```
8
Lattice="-2.209 2.209 15.994 2.209 -2.209 15.994 2.209 2.209 -15.994" Properties=species:S:1:pos:R:3 pbc="T T T"
Rb 0.000 0.000 0.000
Rb 0.000 2.209 7.997
In 1.105 -1.088 11.996
In 1.121 1.105 3.999
In 1.105 3.298 -3.999
In 1.088 1.105 19.993
Cl 2.209 0.000 7.997
Cl 0.000 0.000 15.994
```

Output
Distance to the lowest polymorph of the same formula in meV/atom: 0
M_tot in μB/cell: 0.0
Calculated total energy in eV per atom: -2.71

ZnRu3Rh: relaxed, GGA-PBE.

Geometry as extended XYZ:
```
5
Lattice="4.415 0.000 0.000 0.000 4.415 0.000 0.000 0.000 4.415" Properties=species:S:1:pos:R:3 pbc="T T T"
Zn 0.000 0.000 0.000
Ru 0.000 0.000 2.208
Ru 0.000 2.208 0.000
Ru 2.208 0.000 0.000
Rh 2.208 2.208 2.208
```

Output
Distance to the lowest polymorph of the same formula in meV/atom: 0
M_tot in μB/cell: 0.0
Formation energy from the elements in meV per atom: 1718
Calculated total energy in eV per atom: -5.57

Pm2TmNpN4: relaxed, GGA-PBE.

Geometry as extended XYZ:
```
8
Lattice="6.019 0.000 0.000 0.000 3.506 0.000 -1.963 0.000 5.761" Properties=species:S:1:pos:R:3 pbc="T T T"
Pm 0.000 0.000 0.000
Pm 3.009 1.753 0.000
Tm -0.981 1.753 2.880
Np 2.028 0.000 2.880
N 0.118 0.000 4.161
N 1.040 1.753 1.587
N 3.015 1.753 4.174
N 3.938 0.000 1.600
```

Output
M_tot in μB/cell: 2.8
Calculated total energy in eV per atom: -8.99

LiMg2Cu: relaxed, GGA-PBE.

Geometry as extended XYZ:
```
4
Lattice="4.614 -1.455 0.000 4.614 1.455 0.000 -0.772 0.000 5.325" Properties=species:S:1:pos:R:3 pbc="T T T"
Li 0.000 0.000 0.000
Mg 1.628 0.000 3.922
Mg 6.829 0.000 1.403
Cu 4.228 0.000 2.662
```

Output
M_tot in μB/cell: 0.0
Formation energy from the elements in meV per atom: 10
Calculated total energy in eV per atom: -2.29

Ac2CdBi: relaxed, GGA-PBE.

Geometry as extended XYZ:
```
4
Lattice="0.000 4.133 4.133 4.133 0.000 4.133 4.133 4.133 0.000" Properties=species:S:1:pos:R:3 pbc="T T T"
Ac 2.067 2.067 2.067
Ac 6.200 6.200 6.200
Cd 0.000 0.000 0.000
Bi 4.133 4.133 4.133
```

Output
Distance to the lowest polymorph of the same formula in meV/atom: 60
M_tot in μB/cell: 0.0
Formation energy from the elements in meV per atom: -483
Calculated total energy in eV per atom: -3.74

LaPmBeGe: relaxed, GGA-PBE.

Geometry as extended XYZ:
```
4
Lattice="0.000 3.633 3.633 3.633 0.000 3.633 3.633 3.633 0.000" Properties=species:S:1:pos:R:3 pbc="T T T"
La 0.000 0.000 0.000
Pm 3.633 3.633 3.633
Be 1.816 1.816 1.816
Ge 5.449 5.449 5.449
```

Output
M_tot in μB/cell: 0.0
Formation energy from the elements in meV per atom: -249
Calculated total energy in eV per atom: -4.75

LiPF: relaxed, GGA-PBE.

Geometry as extended XYZ:
```
6
Lattice="3.267 0.000 0.000 1.633 2.830 0.000 0.074 0.040 9.928" Properties=species:S:1:pos:R:3 pbc="T T T"
Li 0.000 0.000 0.000
Li 1.627 0.939 1.966
P 4.938 2.838 6.592
P 1.671 0.951 5.358
F 1.707 0.983 9.845
F 4.895 2.826 2.051
```

Output
Distance to the lowest polymorph of the same formula in meV/atom: 0
M_tot in μB/cell: 0.0
Calculated total energy in eV per atom: -4.97

FeS2IN: relaxed, GGA-PBE.

Geometry as extended XYZ:
```
5
Lattice="5.174 0.000 0.000 0.000 5.174 0.000 0.000 0.000 3.894" Properties=species:S:1:pos:R:3 pbc="T T T"
Fe 0.000 0.000 0.000
S 0.000 2.587 1.947
S 2.587 0.000 1.947
I 2.587 2.587 1.947
N 2.587 2.587 0.000
```

Output
Distance to the lowest polymorph of the same formula in meV/atom: 1024
M_tot in μB/cell: 4.0
Calculated total energy in eV per atom: -3.71

PPt: relaxed, GGA-PBE.

Geometry as extended XYZ:
```
16
Lattice="6.768 0.000 0.000 0.000 7.137 0.000 0.000 0.000 7.307" Properties=species:S:1:pos:R:3 pbc="T T T"
P 0.946 0.659 2.154
P 1.176 2.741 6.645
P 2.208 4.396 2.992
P 2.439 6.478 5.807
P 4.330 2.909 5.153
P 4.560 0.828 0.661
P 5.592 6.309 4.314
P 5.823 4.228 1.500
Pt 1.012 2.984 1.713
Pt 1.137 6.328 3.912
Pt 2.247 0.809 0.259
Pt 2.372 4.153 5.366
Pt 4.396 0.585 5.594
Pt 4.521 4.377 3.394
Pt 5.631 2.760 7.048
Pt 5.756 6.553 1.941
```

Output
M_tot in μB/cell: 0.0
Formation energy from the elements in meV per atom: -236
Calculated total energy in eV per atom: -5.96

VNiS2N: relaxed, GGA-PBE.

Geometry as extended XYZ:
```
5
Lattice="4.663 0.000 0.000 0.000 4.663 0.000 0.000 0.000 3.592" Properties=species:S:1:pos:R:3 pbc="T T T"
V 0.000 0.000 0.000
Ni 2.331 2.331 1.796
S 0.000 2.331 0.000
S 2.331 0.000 0.000
N 0.000 0.000 1.796
```

Output
Distance to the lowest polymorph of the same formula in meV/atom: 0
M_tot in μB/cell: 1.6
Calculated total energy in eV per atom: -5.94

Ti3BSb: relaxed, GGA-PBE.

Geometry as extended XYZ:
```
5
Lattice="4.983 0.000 0.000 0.000 4.983 0.000 0.000 0.000 4.983" Properties=species:S:1:pos:R:3 pbc="T T T"
Ti 0.000 0.000 2.491
Ti 0.000 2.491 0.000
Ti 2.491 0.000 0.000
B 2.491 2.491 2.491
Sb 0.000 0.000 0.000
```

Output
Distance to the lowest polymorph of the same formula in meV/atom: 2177
M_tot in μB/cell: 2.8
Calculated total energy in eV per atom: -5.24